Record 1
Entry from Alexandria via LeMat-Bulk: an optimized crystal structure of AlRe2PbS (PBE-GGA).

Values from the calculation:
* density: 10.348 g/cm³
* uncorrected formation energy: 1.5617 eV/atom
* space group: P4/mmm (123)
* DOS at the Fermi energy: 1.04 states/eV per atom

a b c (Å): 4.8118 4.8118 4.4265
angles (deg): 90.00 90.00 90.00
With the nearest neighbours (Å) after each atom.
Fractional coordinates of all 5 atoms:
Al 0.0000 0.0000 0.0000  2 S 2.21, 4 Re 2.41
Re 0.0000 0.5000 0.0000  2 Al 2.41
Re 0.5000 0.0000 0.0000  2 Al 2.41
Pb 0.5000 0.5000 0.5000  8 Re 3.27, 4 S 3.40
S 0.0000 0.0000 0.5000  2 Al 2.21

---

Record 2
Entry from Alexandria via LeMat-Bulk: an optimized crystal structure of Sc2AlRePb (PBE-GGA).

Values from the calculation:
* density: 6.087 g/cm³
* DFT formation energy: 1.30 eV/atom
* space group: P4/mmm (123)
* DOS at the Fermi energy: 0.77 states/eV per atom

a b c (Å): 5.2794 5.2794 4.9945
angles (deg): 90.00 90.00 90.00
With the nearest neighbours (Å) after each atom.
Fractional coordinates of all 5 atoms:
Sc 0.0000 0.5000 0.0000  2 Pb 2.64
Sc 0.5000 0.0000 0.0000  2 Pb 2.64
Al 0.0000 0.0000 0.5000  8 Sc 3.63, 4 Re 3.73
Re 0.5000 0.5000 0.5000  2 Pb 2.50
Pb 0.5000 0.5000 0.0000  2 Re 2.50, 4 Sc 2.64

---

Record 3
Entry from Alexandria via LeMat-Bulk: an optimized crystal structure of AlVRePb2 (PBE-GGA).

Values from the calculation:
* density: 8.333 g/cm³
* DFT formation energy: 1.29 eV/atom
* space group: P4/mmm (123)
* DOS at the Fermi energy: 1.42 states/eV per atom

a b c (Å): 5.2994 5.2994 4.8147
angles (deg): 90.00 90.00 90.00
With the nearest neighbours (Å) after each atom.
Fractional coordinates of all 5 atoms:
Al 0.0000 0.0000 0.0000  2 Re 2.41
V 0.5000 0.5000 0.0000  8 Pb 3.58, 4 Al 3.75
Re 0.0000 0.0000 0.5000  2 Al 2.41, 4 Pb 2.65
Pb 0.0000 0.5000 0.5000  2 Re 2.65
Pb 0.5000 0.0000 0.5000  2 Re 2.65

---

Record 4
Entry from Alexandria via LeMat-Bulk: an optimized crystal structure of AlRe2PbW (PBE-GGA).

Values from the calculation:
* density: 13.202 g/cm³
* DFT formation energy: 2.24 eV/atom
* space group: P4/mmm (123)
* DOS at the Fermi energy: 2.11 states/eV per atom

a b c (Å): 4.5039 4.5039 4.9011
angles (deg): 90.00 90.00 90.00
With the nearest neighbours (Å) after each atom.
Fractional coordinates of all 5 atoms:
Al 0.0000 0.0000 0.0000  4 Re 2.25, 2 Pb 2.45
Re 0.0000 0.5000 0.0000  2 Al 2.25
Re 0.5000 0.0000 0.0000  2 Al 2.25
Pb 0.0000 0.0000 0.5000  2 Al 2.45
W 0.5000 0.5000 0.5000  4 Pb 3.18, 8 Re 3.33

---

In the order shown, the computed spin magnetization values come out to 3.716 0.000 0.182 0.732 μB per formula unit.